Record 1
Al2TcIr: optimized geometry, PBE.

Results
- total energy (eV per formula unit) = -27.44

Lattice parameters (Å, degrees): 4.3591 4.3591 4.3591 60.00 60.00 60.00
Element x y z (fractional)
Al: 0.0000 0.0000 0.0000
Al: 0.7500 0.7500 0.7500
Ir: 0.2500 0.2500 0.2500
Tc: 0.5000 0.5000 0.5000



Record 2
ThAlIr: optimized geometry, PBE.

Results
- total energy (eV per formula unit) = -22.91

Lattice parameters (Å, degrees): 7.2053 7.2053 4.1727 90.00 90.00 120.00
Element x y z (fractional)
Al: 0.2289 0.0000 0.0000
Al: 0.0000 0.2289 0.0000
Al: 0.7711 0.7711 0.0000
Ir: 0.6667 0.3333 0.0000
Ir: 0.3333 0.6667 0.0000
Ir: 0.0000 0.0000 0.5000
Th: 0.5809 0.0000 0.5000
Th: 0.4191 0.4191 0.5000
Th: 0.0000 0.5809 0.5000